(1)
Entry from Alexandria via LeMat-Bulk: a relaxed structure of V2TeCl (PBE-GGA).

Structure (extended XYZ):
```
4
Lattice="0.214 -2.236 4.010 -3.849 -0.855 2.363 -1.592 -4.300 0.322" Properties=species:S:1:pos:R:3 pbc="T T T"
Cl 0.000 0.000 0.000
Te -2.613 -3.695 3.348
V -1.307 -1.848 1.674
V -3.920 -5.543 5.022
```

Results
- Uncorrected formation energy: 0.162 eV per atom
- Symmetry: Fm-3m, No. 225
- E above lowest polymorph: 77.4 meV per atom

***

(2)
Entry from Alexandria via LeMat-Bulk: a relaxed structure of CsPu4Cl8 (PBE-GGA).

Structure (extended XYZ):
```
26
Lattice="-4.154 -3.749 5.232 7.648 -0.383 0.190 0.468 14.758 10.947" Properties=species:S:1:pos:R:3 pbc="T T T"
Pu 0.351 11.069 8.210
Pu 3.941 3.492 2.839
Cl 0.086 6.990 10.685
Pu 2.090 9.000 10.925
Cl 3.785 0.733 3.531
Cs 0.234 7.379 5.473
Cl 0.054 3.841 5.598
Cs 0.000 0.000 0.000
Cl -0.039 0.912 3.426
Pu -1.717 9.191 10.830
Pu 1.873 1.626 5.444
Cl 3.877 3.635 5.683
Cl -2.023 1.966 8.215
Cl 2.255 11.781 10.232
Cl 4.002 9.714 12.943
Cl 3.909 6.785 10.770
Pu 5.681 1.435 5.538
Cl 0.178 9.893 12.838
Pu 0.022 7.134 13.529
Cl -2.116 -0.963 6.042
Cl 1.708 -1.155 6.137
Cl 1.801 1.774 8.309
Pu 0.117 3.690 2.737
Cl 2.162 8.852 8.059
Cl 5.986 8.660 8.154
Cl 6.079 11.589 10.326
```

Results
- Uncorrected formation energy: -1.710 eV per atom
- Symmetry: P6_3/mmc, No. 194
- E above lowest polymorph: 0.0 meV per atom

***

Question: The lowest uncorrected formation energy belongs to which entry?
Answer: CsPu4Cl8

***

Question: What is the E above lowest polymorph in the second record?
Answer: 0.0 meV per atom